Record 1
Entry from the Alexandria database: Rb2SrAlBi2 after structural relaxation (GGA-PBE).

a b c (Å): 5.551 10.075 8.299
angles (deg): 90.00 90.00 90.00
Space group Pmc2_1 (No. 26)
Inequivalent atoms, fractional coordinates:
1 Rb 0.000 0.085 0.000 x2
2 Rb 0.500 0.153 0.318 x2
3 Sr 0.500 0.476 0.017 x2
4 Al 0.000 0.327 0.664 x2
5 Bi 0.000 0.393 0.297 x2
6 Bi 0.500 0.221 0.738 x2

Summary:
DFT formation energy = -9.0 kcal/mol of atoms
V = 464 Å³ per cell
VASP energy = -17.5 eV per formula unit
total magnetic moment = 0.0 μB/f.u.
N(E_F) = 0.102 states/eV/atom



Record 2
Entry from the Alexandria database: RbAlBiTe3 after structural relaxation (GGA-PBE).

a b c (Å): 10.344 4.493 11.097
angles (deg): 90.00 100.72 90.00
Space group P2_1/m (No. 11)
Inequivalent atoms, fractional coordinates:
1 Rb 0.176 0.250 0.199 x2
2 Al 0.082 0.250 0.606 x2
3 Bi 0.359 0.750 0.848 x2
4 Te 0.123 0.250 0.843 x2
5 Te 0.175 0.750 0.510 x2
6 Te 0.444 0.750 0.151 x2

Summary:
ΔE_f (raw) = -0.4841 eV per atom
V = 507 Å³ per cell
VASP energy = -20.9 eV per formula unit
total magnetic moment = 0.0 μB/f.u.
N(E_F) = 0.216 states/eV/atom



Record 3
Entry from the Alexandria database: RbAlTlBi2 after structural relaxation (GGA-PBE).

a b c (Å): 6.278 6.278 6.215
angles (deg): 90.00 90.00 90.00
Space group P4/mmm (No. 123)
Inequivalent atoms, fractional coordinates:
1 Rb 0.000 0.000 0.000 x1
2 Al 0.500 0.500 0.500 x1
3 Tl 0.000 0.000 0.500 x1
4 Bi 0.000 0.500 0.000 x2

Summary:
DFT formation energy = 25.8 kcal/mol of atoms
V = 245 Å³ per cell
VASP energy = -9.3 eV per formula unit
total magnetic moment = 0.0 μB/f.u.
N(E_F) = 1.151 states/eV/atom



Record 4
Entry from the Alexandria database: RbAl2BiW after structural relaxation (GGA-PBE).

a b c (Å): 5.062 5.062 5.616
angles (deg): 90.00 90.00 90.00
Space group P4/mmm (No. 123)
Inequivalent atoms, fractional coordinates:
1 Rb 0.000 0.000 0.000 x1
2 Al 0.000 0.500 0.500 x2
3 Bi 0.500 0.500 0.000 x1
4 W 0.000 0.000 0.500 x1

Summary:
DFT formation energy = 27.6 kcal/mol of atoms
V = 144 Å³ per cell
VASP energy = -19.3 eV per formula unit
total magnetic moment = 0.0 μB/f.u.
N(E_F) = 1.183 states/eV/atom